Record 1
Computed, not measured: BaZr2F10 at its PBEsol-relaxed geometry at the meta-GGA SCAN level of DFT.

Cell and atoms, written as CIF:
```
data_BaZr2F10
_symmetry_space_group_name_H-M 'P 1'
_symmetry_Int_Tables_number 1
_cell_length_a 8.389
_cell_length_b 8.389
_cell_length_c 8.742
_cell_angle_alpha 95.92
_cell_angle_beta 95.92
_cell_angle_gamma 137.60
loop_
_symmetry_equiv_pos_as_xyz
'x,y,z'
loop_
_atom_site_label
_atom_site_fract_x
_atom_site_fract_y
_atom_site_fract_z
_atom_site_occupancy
Ba1 0.069 0.931 0.750 1
Ba2 0.931 0.069 0.250 1
Zr1 0.157 0.468 0.904 1
Zr2 0.468 0.157 0.404 1
Zr3 0.532 0.843 0.596 1
Zr4 0.843 0.532 0.096 1
F1 0.058 0.643 0.928 1
F2 0.133 0.245 0.001 1
F3 0.196 0.327 0.738 1
F4 0.200 0.800 0.250 1
F5 0.245 0.133 0.501 1
F6 0.250 0.527 0.435 1
F7 0.300 0.700 0.750 1
F8 0.327 0.196 0.238 1
F9 0.357 0.942 0.572 1
F10 0.473 0.750 0.065 1
F11 0.527 0.250 0.935 1
F12 0.643 0.058 0.428 1
F13 0.673 0.804 0.762 1
F14 0.700 0.300 0.250 1
F15 0.750 0.473 0.565 1
F16 0.755 0.867 0.499 1
F17 0.800 0.200 0.750 1
F18 0.804 0.673 0.262 1
F19 0.867 0.755 0.999 1
F20 0.942 0.357 0.072 1
```

Properties
**Total magnetic moment**: 0.24 μB/cell
**Symmetry**: C2/c, No. 15
**Formation energy from raw total energies**: -4054.4 meV/atom
**Energy**: -378.1 eV per cell



Record 2
Computed, not measured: BaFe3 at its PBEsol-relaxed geometry at the meta-GGA SCAN level of DFT.

Cell and atoms, written as CIF:
```
data_BaFe3
_symmetry_space_group_name_H-M 'P 1'
_symmetry_Int_Tables_number 1
_cell_length_a 8.999
_cell_length_b 8.999
_cell_length_c 8.999
_cell_angle_alpha 19.62
_cell_angle_beta 19.62
_cell_angle_gamma 19.62
loop_
_symmetry_equiv_pos_as_xyz
'x,y,z'
loop_
_atom_site_label
_atom_site_fract_x
_atom_site_fract_y
_atom_site_fract_z
_atom_site_occupancy
Ba1 0.000 0.000 0.000 1
Fe1 0.229 0.229 0.229 1
Fe2 0.500 0.500 0.500 1
Fe3 0.771 0.771 0.771 1
```

Properties
**Total magnetic moment**: 8.69 μB/cell
**Symmetry**: R-3m, No. 166
**Energy**: -90.1 eV per cell
**Formation energy from the elements**: 0.954 eV/atom



Record 3
Computed, not measured: BaFe at its PBEsol-relaxed geometry at the meta-GGA SCAN level of DFT.

Cell and atoms, written as CIF:
```
data_BaFe
_symmetry_space_group_name_H-M 'P 1'
_symmetry_Int_Tables_number 1
_cell_length_a 4.502
_cell_length_b 4.502
_cell_length_c 4.502
_cell_angle_alpha 60.00
_cell_angle_beta 60.00
_cell_angle_gamma 60.00
loop_
_symmetry_equiv_pos_as_xyz
'x,y,z'
loop_
_atom_site_label
_atom_site_fract_x
_atom_site_fract_y
_atom_site_fract_z
_atom_site_occupancy
Ba1 0.000 0.000 0.000 1
Fe1 0.500 0.500 0.500 1
```

Properties
**Total magnetic moment**: 2.23 μB/cell
**Symmetry**: Fm-3m, No. 225
**Energy**: -55.4 eV per cell
**Formation energy from the elements**: 1.117 eV/atom



Record 4
Computed, not measured: BaFe at its PBEsol-relaxed geometry at the meta-GGA SCAN level of DFT.

Cell and atoms, written as CIF:
```
data_BaFe
_symmetry_space_group_name_H-M 'P 1'
_symmetry_Int_Tables_number 1
_cell_length_a 3.428
_cell_length_b 3.428
_cell_length_c 9.169
_cell_angle_alpha 90.00
_cell_angle_beta 90.00
_cell_angle_gamma 90.00
loop_
_symmetry_equiv_pos_as_xyz
'x,y,z'
loop_
_atom_site_label
_atom_site_fract_x
_atom_site_fract_y
_atom_site_fract_z
_atom_site_occupancy
Ba1 0.250 0.250 0.213 1
Ba2 0.750 0.750 0.787 1
Fe1 0.250 0.250 0.530 1
Fe2 0.750 0.750 0.470 1
```

Properties
**Total magnetic moment**: 5.20 μB/cell
**Symmetry**: P4/nmm, No. 129
**Energy**: -113.1 eV per cell
**Formation energy from the elements**: 0.556 eV/atom



Record 5
Computed, not measured: BaFe3 at its PBEsol-relaxed geometry at the meta-GGA SCAN level of DFT.

Cell and atoms, written as CIF:
```
data_BaFe3
_symmetry_space_group_name_H-M 'P 1'
_symmetry_Int_Tables_number 1
_cell_length_a 4.062
_cell_length_b 4.062
_cell_length_c 4.062
_cell_angle_alpha 90.00
_cell_angle_beta 90.00
_cell_angle_gamma 90.00
loop_
_symmetry_equiv_pos_as_xyz
'x,y,z'
loop_
_atom_site_label
_atom_site_fract_x
_atom_site_fract_y
_atom_site_fract_z
_atom_site_occupancy
Ba1 0.000 0.000 0.000 1
Fe1 0.000 0.500 0.500 1
Fe2 0.500 0.000 0.500 1
Fe3 0.500 0.500 0.000 1
```

Properties
**Total magnetic moment**: 7.45 μB/cell
**Symmetry**: Pm-3m, No. 221
**Energy**: -89.2 eV per cell
**Formation energy from the elements**: 1.172 eV/atom



Record 6
Computed, not measured: Ba4Fe at its PBEsol-relaxed geometry at the meta-GGA SCAN level of DFT.

Cell and atoms, written as CIF:
```
data_Ba4Fe
_symmetry_space_group_name_H-M 'P 1'
_symmetry_Int_Tables_number 1
_cell_length_a 7.738
_cell_length_b 7.738
_cell_length_c 7.738
_cell_angle_alpha 93.73
_cell_angle_beta 93.73
_cell_angle_gamma 150.43
loop_
_symmetry_equiv_pos_as_xyz
'x,y,z'
loop_
_atom_site_label
_atom_site_fract_x
_atom_site_fract_y
_atom_site_fract_z
_atom_site_occupancy
Ba1 0.063 0.752 0.815 1
Ba2 0.248 0.063 0.312 1
Ba3 0.752 0.937 0.688 1
Ba4 0.937 0.248 0.185 1
Fe1 0.500 0.500 0.000 1
```

Properties
**Total magnetic moment**: 2.85 μB/cell
**Symmetry**: I4/m, No. 87
**Energy**: -174.5 eV per cell
**E above lowest polymorph**: 0 meV/atom
**Formation energy from the elements**: 0.369 eV/atom



Record 7
Computed, not measured: Ba4Fe at its PBEsol-relaxed geometry at the meta-GGA SCAN level of DFT.

Cell and atoms, written as CIF:
```
data_Ba4Fe
_symmetry_space_group_name_H-M 'P 1'
_symmetry_Int_Tables_number 1
_cell_length_a 6.628
_cell_length_b 6.628
_cell_length_c 6.628
_cell_angle_alpha 109.47
_cell_angle_beta 109.47
_cell_angle_gamma 109.47
loop_
_symmetry_equiv_pos_as_xyz
'x,y,z'
loop_
_atom_site_label
_atom_site_fract_x
_atom_site_fract_y
_atom_site_fract_z
_atom_site_occupancy
Ba1 0.000 0.000 0.500 1
Ba2 0.000 0.500 0.000 1
Ba3 0.500 0.000 0.000 1
Ba4 0.500 0.500 0.500 1
Fe1 0.000 0.000 0.000 1
```

Properties
**Total magnetic moment**: 2.35 μB/cell
**Symmetry**: Im-3m, No. 229
**Energy**: -173.9 eV per cell
**E above lowest polymorph**: 107 meV/atom
**Formation energy from the elements**: 0.477 eV/atom



Record 8
Computed, not measured: Ba3Fe at its PBEsol-relaxed geometry at the meta-GGA SCAN level of DFT.

Cell and atoms, written as CIF:
```
data_Ba3Fe
_symmetry_space_group_name_H-M 'P 1'
_symmetry_Int_Tables_number 1
_cell_length_a 5.949
_cell_length_b 5.949
_cell_length_c 5.949
_cell_angle_alpha 60.00
_cell_angle_beta 60.00
_cell_angle_gamma 60.00
loop_
_symmetry_equiv_pos_as_xyz
'x,y,z'
loop_
_atom_site_label
_atom_site_fract_x
_atom_site_fract_y
_atom_site_fract_z
_atom_site_occupancy
Ba1 0.000 0.000 0.000 1
Ba2 0.250 0.250 0.250 1
Ba3 0.750 0.750 0.750 1
Fe1 0.500 0.500 0.500 1
```

Properties
**Total magnetic moment**: 3.18 μB/cell
**Symmetry**: Fm-3m, No. 225
**Energy**: -134.6 eV per cell
**E above lowest polymorph**: 0 meV/atom
**Formation energy from the elements**: 0.552 eV/atom



Among the records above, which one has the lowest energy? BaZr2F10